(1)
Na5Tl2Pb6: optimized geometry, GGA-PBE.

Calculated values
- ΔH_f (0 K): -0.087 eV/atom

a = 11.2866 Å, b = 19.4536 Å, c = 3.5869 Å
α = 90.00°, β = 90.00°, γ = 90.00°
Closest atoms and distances in Å follow each position.
Space group Pbam (No. 55)
One atom of each set of equivalent atoms:
Na 0.0000 0.0000 0.0000 (multiplicity 2)  6 Pb 3.28, 4 Na 3.59
Na 0.0539 0.2800 0.0000 (multiplicity 4)  4 Tl 3.32-3.51, 5 Pb 3.32-3.39, 2 Na 3.59
Na 0.2005 0.5620 0.0000 (multiplicity 4)  7 Pb 3.46-3.83, 3 Na 3.59, 2 Tl 3.71
Tl 0.1933 0.7289 0.5000 (multiplicity 4)  3 Pb 3.30-3.36, 4 Na 3.32-3.51, 2 Tl 3.59
Pb 0.0612 0.4258 0.5000 (multiplicity 4)  3 Pb 3.20-3.44, 6 Na 3.36-3.56
Pb 0.0622 0.1362 0.5000 (multiplicity 4)  6 Na 3.28-3.53, 1 Tl 3.30, 4 Pb 3.41-3.59
Pb 0.1942 0.8749 0.0000 (multiplicity 4)  2 Na 3.28-3.39, 2 Tl 3.36, 6 Pb 3.41-3.59

(2)
Na12Tl7Pb: optimized geometry, GGA-PBE.

Calculated values
- ΔH_f (0 K): -0.069 eV/atom

a = 13.4502 Å, b = 13.4502 Å, c = 11.4368 Å
α = 90.00°, β = 90.00°, γ = 120.00°
Closest atoms and distances in Å follow each position.
Space group R-3 (No. 148, hexagonal axes)
One atom of each set of equivalent atoms:
Na 0.9997 0.2520 0.9996 (multiplicity 18)  1 Pb 3.39, 6 Na 3.39-3.67, 4 Tl 3.44-3.49
Na 0.0589 0.5303 0.1180 (multiplicity 18)  3 Na 3.03-3.39, 1 Tl 3.24
Tl 0.0000 0.0000 0.5000 (multiplicity 3)  6 Na 3.24-3.25, 6 Tl 3.44
Tl 0.0841 0.9144 0.7466 (multiplicity 18)  3 Tl 3.42-3.44, 7 Na 3.44-3.60, 1 Pb 3.51
Pb 0.0000 0.0000 0.0000 (multiplicity 3)  6 Na 3.39, 6 Tl 3.51

(3)
Na2Tl4Pb3: optimized geometry, GGA-PBE.

Calculated values
- ΔH_f (0 K): -0.054 eV/atom
- Relative energy among the computed polymorphs: 31.6 meV/atom

a = 13.8117 Å, b = 5.1280 Å, c = 7.9374 Å
α = 90.00°, β = 106.45°, γ = 90.00°
Closest atoms and distances in Å follow each position.
Space group C2/m (No. 12)
One atom of each set of equivalent atoms:
Na 0.1613 0.0000 0.4994 (multiplicity 4)  5 Tl 3.33-3.60, 5 Pb 3.40-3.62, 2 Na 3.54
Tl 0.0565 0.0000 0.8283 (multiplicity 4)  2 Na 3.33-3.37, 6 Pb 3.43-3.62, 4 Tl 3.44-3.50
Tl 0.2247 0.5000 0.8316 (multiplicity 4)  3 Na 3.42-3.60, 5 Tl 3.44-3.63, 4 Pb 3.45-3.46
Pb 0.0000 0.5000 0.5000 (multiplicity 2)  4 Na 3.40, 2 Pb 3.41, 6 Tl 3.45-3.58
Pb 0.1075 0.5000 0.1632 (multiplicity 4)  2 Pb 3.34-3.41, 7 Tl 3.43-3.62, 3 Na 3.54-3.62